# 1
## Li4ThSe4 (PBE)

Data for Li4ThSe4 after structural relaxation.

Lattice parameters (Å, degrees): 6.9835 6.9835 9.8977 123.31 123.31 34.66
With the nearest neighbours (Å) after each atom.
Positions (direct):
Li (0.1532, 0.1532, 0.3753)  4 Se 2.57-2.65
Li (0.2912, 0.2912, 0.1839)  5 Se 2.71-2.95
Li (0.7088, 0.7088, 0.8161)  5 Se 2.71-2.95
Li (0.8468, 0.8468, 0.6247)  4 Se 2.57-2.65
Th (0.5000, 0.5000, 0.0000)  6 Se 2.88-2.93
Se (0.0816, 0.0816, 0.8751)  4 Li 2.65-2.95, 2 Th 2.93
Se (0.2617, 0.2617, 0.6895)  5 Li 2.57-2.72
Se (0.7383, 0.7383, 0.3105)  5 Li 2.57-2.72
Se (0.9184, 0.9184, 0.1249)  4 Li 2.65-2.95, 2 Th 2.93

Summary:
**Symmetry**: C2/m (12)
**ΔE_f (raw)**: -1.4068 eV per atom

# 2
## BaSiTc (PBE)

Data for BaSiTc after structural relaxation.

Lattice parameters (Å, degrees): 6.5954 6.5954 6.5954 90.00 90.00 90.00
With the nearest neighbours (Å) after each atom.
Positions (direct):
Ba (0.0000, 0.0000, 0.0000)  4 Tc 2.86
Ba (0.0000, 0.5000, 0.5000)  4 Tc 2.86
Ba (0.5000, 0.0000, 0.5000)  4 Tc 2.86
Ba (0.5000, 0.5000, 0.0000)  4 Tc 2.86
Si (0.0000, 0.0000, 0.5000)  4 Tc 2.86
Si (0.0000, 0.5000, 0.0000)  4 Tc 2.86
Si (0.5000, 0.0000, 0.0000)  4 Tc 2.86
Si (0.5000, 0.5000, 0.5000)  4 Tc 2.86
Tc (0.2500, 0.2500, 0.7500)  4 Ba 2.86, 4 Si 2.86
Tc (0.2500, 0.7500, 0.2500)  4 Ba 2.86, 4 Si 2.86
Tc (0.7500, 0.2500, 0.2500)  4 Ba 2.86, 4 Si 2.86
Tc (0.7500, 0.7500, 0.7500)  4 Ba 2.86, 4 Si 2.86

Summary:
**Symmetry**: F-43m (216)
**Energy above the most stable polymorph in this dataset**: 1042.8 meV/atom
**ΔE_f (raw)**: 0.7463 eV per atom

# 3
## CdBi2Pb2 (PBE)

Data for CdBi2Pb2 after structural relaxation.

Lattice parameters (Å, degrees): 4.8549 4.8549 15.4560 90.00 90.00 90.00
With the nearest neighbours (Å) after each atom.
Positions (direct):
Cd (0.0000, 0.0000, 0.0000)  8 Pb 3.81
Cd (0.5000, 0.5000, 0.5000)  8 Pb 3.81
Bi (0.0000, 0.5000, 0.2500)  4 Pb 3.28, 4 Bi 3.43
Bi (0.0000, 0.5000, 0.7500)  4 Pb 3.28, 4 Bi 3.43
Bi (0.5000, 0.0000, 0.2500)  4 Pb 3.28, 4 Bi 3.43
Bi (0.5000, 0.0000, 0.7500)  4 Pb 3.28, 4 Bi 3.43
Pb (0.0000, 0.0000, 0.3925)  4 Bi 3.28, 1 Pb 3.32
Pb (0.0000, 0.0000, 0.6075)  4 Bi 3.28, 1 Pb 3.32
Pb (0.5000, 0.5000, 0.1075)  4 Bi 3.28, 1 Pb 3.32
Pb (0.5000, 0.5000, 0.8925)  4 Bi 3.28, 1 Pb 3.32

Summary:
**Symmetry**: I4/mmm (139)
**Energy above the most stable polymorph in this dataset**: 113.4 meV/atom

# 4
## NpTl5 (PBE)

Data for NpTl5 after structural relaxation.

Lattice parameters (Å, degrees): 5.8454 17.2473 3.4588 90.00 90.00 90.00
With the nearest neighbours (Å) after each atom.
Positions (direct):
Np (0.0000, 0.0000, 0.0000)  8 Tl 3.33-3.40, 2 Np 3.46
Np (0.5000, 0.5000, 0.0000)  8 Tl 3.33-3.40, 2 Np 3.46
Tl (0.0000, 0.1648, 0.5000)  2 Np 3.33, 8 Tl 3.34-3.46
Tl (0.0000, 0.3302, 0.0000)  10 Tl 3.34-3.46
Tl (0.0000, 0.5000, 0.5000)  4 Np 3.40, 6 Tl 3.40-3.46
Tl (0.0000, 0.6698, 0.0000)  10 Tl 3.34-3.46
Tl (0.0000, 0.8352, 0.5000)  2 Np 3.33, 8 Tl 3.34-3.46
Tl (0.5000, 0.0000, 0.5000)  4 Np 3.40, 6 Tl 3.40-3.46
Tl (0.5000, 0.1698, 0.0000)  10 Tl 3.34-3.46
Tl (0.5000, 0.3352, 0.5000)  2 Np 3.33, 8 Tl 3.34-3.46
Tl (0.5000, 0.6648, 0.5000)  2 Np 3.33, 8 Tl 3.34-3.46
Tl (0.5000, 0.8302, 0.0000)  10 Tl 3.34-3.46

Summary:
**Symmetry**: Cmmm (65)

# 5
## CsK3Hg8 (PBE)

Data for CsK3Hg8 after structural relaxation.

Lattice parameters (Å, degrees): 6.5220 6.5220 10.8108 90.00 90.00 120.00
With the nearest neighbours (Å) after each atom.
Positions (direct):
Cs (0.0000, 0.0000, 0.0000)  12 Hg 3.83-3.91, 4 K 4.02-4.11
K (0.0000, 0.0000, 0.3802)  12 Hg 3.75-3.84, 3 K 3.98, 1 Cs 4.11
K (0.6667, 0.3333, 0.4998)  12 Hg 3.79-3.84, 4 K 3.98-4.00
K (0.6667, 0.3333, 0.8696)  12 Hg 3.83-3.94, 1 K 4.00, 3 Cs 4.02
Hg (0.1637, 0.3274, 0.6817)  6 Hg 3.20-3.35
Hg (0.1637, 0.8363, 0.6817)  6 Hg 3.20-3.35
Hg (0.3333, 0.6667, 0.4313)  6 Hg 3.23-3.32
Hg (0.3333, 0.6667, 0.9362)  6 Hg 3.35-3.39
Hg (0.5058, 0.0115, 0.1925)  6 Hg 3.15-3.39
Hg (0.5058, 0.4942, 0.1925)  6 Hg 3.15-3.39
Hg (0.6726, 0.8363, 0.6817)  6 Hg 3.20-3.35
Hg (0.9885, 0.4942, 0.1925)  6 Hg 3.15-3.39

Summary:
**Symmetry**: P3m1 (156)

# 6
## Ac6Ga2Rh (PBE)

Data for Ac6Ga2Rh after structural relaxation.

Lattice parameters (Å, degrees): 7.2921 8.3809 12.9206 90.00 123.10 90.00
With the nearest neighbours (Å) after each atom.
Positions (direct):
Ac (0.1071, 0.1808, 0.4370)  1 Rh 2.94, 1 Ga 3.25
Ac (0.1071, 0.3192, 0.9370)  1 Rh 2.94, 1 Ga 3.25
Ac (0.2777, 0.6792, 0.4378)  1 Rh 3.01, 1 Ga 3.28
Ac (0.2777, 0.8208, 0.9378)  1 Rh 3.01, 1 Ga 3.28
Ac (0.3802, 0.0375, 0.2452)  1 Rh 2.93, 2 Ga 3.26-3.27
Ac (0.3802, 0.4625, 0.7452)  1 Rh 2.93, 2 Ga 3.26-3.27
Ac (0.6198, 0.5375, 0.2548)  1 Rh 2.93, 2 Ga 3.26-3.27
Ac (0.6198, 0.9625, 0.7548)  1 Rh 2.93, 2 Ga 3.26-3.27
Ac (0.7223, 0.1792, 0.0622)  1 Rh 3.01, 1 Ga 3.28
Ac (0.7223, 0.3208, 0.5622)  1 Rh 3.01, 1 Ga 3.28
Ac (0.8929, 0.6808, 0.0630)  1 Rh 2.94, 1 Ga 3.25
Ac (0.8929, 0.8192, 0.5630)  1 Rh 2.94, 1 Ga 3.25
Ga (0.1940, 0.1082, 0.7442)  6 Ac 3.25-3.42
Ga (0.1940, 0.3918, 0.2442)  6 Ac 3.25-3.42
Ga (0.8060, 0.6082, 0.7558)  6 Ac 3.25-3.42
Ga (0.8060, 0.8918, 0.2558)  6 Ac 3.25-3.42
Rh (0.5000, 0.0000, 0.5000)  6 Ac 2.93-3.01
Rh (0.5000, 0.5000, 0.0000)  6 Ac 2.93-3.01

Summary:
**Symmetry**: P2_1/c (14)

# 7
## MgTcAg (PBE)

Data for MgTcAg after structural relaxation.

Lattice parameters (Å, degrees): 2.7336 2.7336 13.2335 90.00 90.00 90.00
With the nearest neighbours (Å) after each atom.
Positions (direct):
Mg (0.0000, 0.0000, 0.0000)  4 Mg 2.73, 4 Tc 2.87, 4 Ag 2.98
Mg (0.5000, 0.5000, 0.5000)  4 Mg 2.73, 4 Tc 2.87, 4 Ag 2.98
Tc (0.0000, 0.0000, 0.3394)  4 Tc 2.73, 4 Mg 2.87, 4 Ag 2.95
Tc (0.5000, 0.5000, 0.8394)  4 Tc 2.73, 4 Mg 2.87, 4 Ag 2.95
Ag (0.0000, 0.0000, 0.6710)  4 Ag 2.73, 4 Tc 2.95, 4 Mg 2.98
Ag (0.5000, 0.5000, 0.1710)  4 Ag 2.73, 4 Tc 2.95, 4 Mg 2.98

Summary:
**Symmetry**: I4mm (107)
**Energy above the most stable polymorph in this dataset**: 0.0 meV/atom

# 8
## Sr3Tb3PuSe8 (PBE)

Data for Sr3Tb3PuSe8 after structural relaxation.

Lattice parameters (Å, degrees): 8.6223 8.6223 8.6223 58.15 58.15 58.15
With the nearest neighbours (Å) after each atom.
Positions (direct):
Sr (0.0000, 0.5000, 0.5000)  6 Se 3.09-3.11
Sr (0.5000, 0.0000, 0.5000)  6 Se 3.09-3.11
Sr (0.5000, 0.5000, 0.0000)  6 Se 3.09-3.11
Tb (0.0000, 0.0000, 0.5000)  6 Se 2.91-2.93
Tb (0.0000, 0.5000, 0.0000)  6 Se 2.91-2.93
Tb (0.5000, 0.0000, 0.0000)  6 Se 2.91-2.93
Pu (0.5000, 0.5000, 0.5000)  6 Se 2.97
Se (0.2368, 0.7469, 0.7469)  2 Tb 2.91, 1 Pu 2.97, 2 Sr 3.11
Se (0.2438, 0.2438, 0.2438)  3 Tb 2.93, 3 Sr 3.09
Se (0.2531, 0.2531, 0.7632)  2 Tb 2.91, 1 Pu 2.97, 2 Sr 3.11
Se (0.2531, 0.7632, 0.2531)  2 Tb 2.91, 1 Pu 2.97, 2 Sr 3.11
Se (0.7469, 0.2368, 0.7469)  2 Tb 2.91, 1 Pu 2.97, 2 Sr 3.11
Se (0.7469, 0.7469, 0.2368)  2 Tb 2.91, 1 Pu 2.97, 2 Sr 3.11
Se (0.7562, 0.7562, 0.7562)  3 Tb 2.93, 3 Sr 3.09
Se (0.7632, 0.2531, 0.2531)  2 Tb 2.91, 1 Pu 2.97, 2 Sr 3.11

Summary:
**Symmetry**: R-3m (166)
**ΔE_f (raw)**: -1.8621 eV per atom

# 9
## VSe2S2 (PBE)

Data for VSe2S2 after structural relaxation.

Lattice parameters (Å, degrees): 3.6141 3.6141 10.7328 90.00 90.00 120.00
With the nearest neighbours (Å) after each atom.
Positions (direct):
V (0.0000, 0.0000, 0.0000)  6 Se 2.55
Se (0.3333, 0.6667, 0.8634)  3 V 2.55
Se (0.6667, 0.3333, 0.1366)  3 V 2.55
S (0.3333, 0.6667, 0.4636)  3 S 2.23
S (0.6667, 0.3333, 0.5364)  3 S 2.23

Summary:
**Symmetry**: P-3m1 (164)
**ΔE_f (raw)**: -0.0658 eV per atom

# 10
## Pr5Dy4Mg (PBE)

Data for Pr5Dy4Mg after structural relaxation.

Lattice parameters (Å, degrees): 3.6567 3.6567 24.7697 90.00 90.00 90.00
With the nearest neighbours (Å) after each atom.
Positions (direct):
Pr (0.0000, 0.0000, 0.0000)  8 Dy 3.63, 4 Pr 3.66
Pr (0.0000, 0.0000, 0.2048)  8 Dy 3.62-3.63, 4 Pr 3.66
Pr (0.0000, 0.0000, 0.4094)  4 Mg 3.42, 4 Dy 3.61, 4 Pr 3.66
Pr (0.0000, 0.0000, 0.5906)  4 Mg 3.42, 4 Dy 3.61, 4 Pr 3.66
Pr (0.0000, 0.0000, 0.7952)  8 Dy 3.62-3.63, 4 Pr 3.66
Dy (0.5000, 0.5000, 0.1027)  8 Pr 3.62-3.63, 4 Dy 3.66
Dy (0.5000, 0.5000, 0.3078)  8 Pr 3.61-3.63, 4 Dy 3.66
Dy (0.5000, 0.5000, 0.6922)  8 Pr 3.61-3.63, 4 Dy 3.66
Dy (0.5000, 0.5000, 0.8973)  8 Pr 3.62-3.63, 4 Dy 3.66
Mg (0.5000, 0.5000, 0.5000)  8 Pr 3.42, 4 Mg 3.66

Summary:
**Symmetry**: P4/mmm (123)

# 11
## Sc2PdPt3 (PBE)

Data for Sc2PdPt3 after structural relaxation.

Lattice parameters (Å, degrees): 7.1581 7.1581 7.1581 110.37 87.27 134.40
With the nearest neighbours (Å) after each atom.
Positions (direct):
Sc (0.1338, 0.2267, 0.3605)  1 Pd 2.63, 6 Pt 2.70-2.82
Sc (0.3662, 0.7267, 0.0929)  1 Pd 2.63, 6 Pt 2.70-2.82
Sc (0.6338, 0.2733, 0.9071)  1 Pd 2.63, 6 Pt 2.70-2.82
Sc (0.8662, 0.7733, 0.6395)  1 Pd 2.63, 6 Pt 2.70-2.82
Pd (0.0000, 0.5000, 0.5000)  2 Sc 2.63, 2 Pd 2.77, 4 Pt 2.77
Pd (0.5000, 0.0000, 0.5000)  2 Sc 2.63, 2 Pd 2.77, 4 Pt 2.77
Pt (0.0181, 0.7500, 0.2681)  4 Sc 2.70-2.82, 3 Pt 2.77-2.78, 2 Pd 2.77
Pt (0.2500, 0.2500, 0.0000)  4 Sc 2.70, 4 Pt 2.77-2.78
Pt (0.4819, 0.7500, 0.7319)  4 Sc 2.70-2.82, 3 Pt 2.77-2.78, 2 Pd 2.77
Pt (0.5181, 0.2500, 0.2681)  4 Sc 2.70-2.82, 3 Pt 2.77-2.78, 2 Pd 2.77
Pt (0.7500, 0.7500, 0.0000)  4 Sc 2.70, 4 Pt 2.77-2.78
Pt (0.9819, 0.2500, 0.7319)  4 Sc 2.70-2.82, 3 Pt 2.77-2.78, 2 Pd 2.77

Summary:
**Symmetry**: Ibam (72)
**Energy above the most stable polymorph in this dataset**: 0.0 meV/atom

# 12
## AlFe2Sb (PBE)

Data for AlFe2Sb after structural relaxation.

Lattice parameters (Å, degrees): 3.0872 3.0872 24.0731 90.00 90.00 120.00
With the nearest neighbours (Å) after each atom.
Positions (direct):
Al (0.0000, 0.0000, 0.0000)  3 Fe 2.54
Al (0.3333, 0.6667, 0.6667)  3 Fe 2.54
Al (0.6667, 0.3333, 0.3333)  3 Fe 2.54
Fe (0.0000, 0.0000, 0.4772)  3 Fe 2.43, 3 Sb 2.71
Fe (0.0000, 0.0000, 0.7419)  3 Fe 2.43, 3 Al 2.54
Fe (0.3333, 0.6667, 0.1438)  3 Fe 2.43, 3 Sb 2.71
Fe (0.3333, 0.6667, 0.4086)  3 Fe 2.43, 3 Al 2.54
Fe (0.6667, 0.3333, 0.0753)  3 Fe 2.43, 3 Al 2.54
Fe (0.6667, 0.3333, 0.8105)  3 Fe 2.43, 3 Sb 2.71
Sb (0.0000, 0.0000, 0.2287)  3 Fe 2.71
Sb (0.3333, 0.6667, 0.8954)  3 Fe 2.71
Sb (0.6667, 0.3333, 0.5620)  3 Fe 2.71

Summary:
**Symmetry**: R3m (160)
**Energy above the most stable polymorph in this dataset**: 274.3 meV/atom
**ΔE_f (raw)**: 0.2636 eV per atom

The evaluated E for the records listed, in turn: -4.630 -5.158 -3.061 -3.925 -0.781 -4.581 -4.692 -5.938 -4.934 -4.393 -6.801 -5.934 eV/atom.